Entry 1:
11
Lattice="-3.606 0.331 -0.370 -0.233 -5.647 -2.782 0.983 -1.948 6.587" Properties=species:S:1:pos:R:3 comment="Pr2NiF8 PBE+U relaxed" final_energy_ev_per_cell=-64.75 pbc="T T T"
F -0.213 -4.665 -2.096
F -0.423 -2.647 1.752
F -2.433 -4.617 1.683
F -2.085 -3.183 -0.427
F -2.643 -2.599 5.530
F -0.563 -1.284 4.337
F -2.293 -5.981 -0.902
F -0.771 -4.081 3.862
Ni -1.803 0.165 -0.185
Pr -0.452 -4.607 0.290
Pr -2.403 -2.657 3.145

=====

Entry 2:
18
Lattice="-2.794 -6.171 0.300 3.987 -4.547 3.066 -2.152 -1.614 6.224" Properties=species:S:1:pos:R:3 comment="PrTl2Ni3F12 PBE+U relaxed" final_energy_ev_per_cell=-83.55 pbc="T T T"
F -1.614 -4.152 6.395
F -1.330 -4.484 1.579
F 0.099 -9.779 5.498
F -2.023 -7.055 2.620
F 0.656 -8.180 3.194
F 2.298 -6.021 4.382
F 1.545 -3.795 2.752
F -1.058 -2.552 4.091
F -3.257 -6.311 5.207
F 0.371 -7.847 8.010
F 1.064 -5.276 6.969
F -2.504 -8.536 6.837
Ni 1.994 -2.273 1.533
Ni -1.076 -0.807 3.112
Ni -1.397 -3.085 0.150
Pr 0.000 0.000 0.000
Tl -0.377 -4.848 3.770
Tl -0.582 -7.484 5.819